# 1
{
  "formula": "K2SrPbS",
  "functional": "PBE",
  "state": "optimized geometry",
  "lattice": [[-4.1537, -5.6471, 1.8562], [1.8834, -2.9683, -4.8158], [5.4852, -2.7686, 3.8517]],
  "species": ["Pb", "Sr", "K", "K", "S"],
  "fractional_positions": [[0.0000, 0.5000, 0.0000], [0.0000, 0.0000, 0.0000], [0.0000, 0.0000, 0.5000], [0.5000, 0.0000, 0.0000], [0.5000, 0.5000, 0.5000]],
  "e_above_lowest_polymorph_mev_per_atom": 519.5,
  "n_ef_per_ev_atom": 0.950
}

=====

# 2
{
  "formula": "K3TaPb2S6",
  "functional": "PBE",
  "state": "optimized geometry",
  "lattice": [[7.1693, 0.0062, -0.0083], [-3.5776, 6.2129, -0.0083], [-1.2065, -2.0890, 7.1722]],
  "species": ["K", "K", "K", "Ta", "Pb", "Pb", "S", "S", "S", "S", "S", "S"],
  "fractional_positions": [[0.1740, 0.8260, 0.5000], [0.8260, 0.1740, 0.5000], [0.5000, 0.5000, 0.5000], [0.0000, 0.0000, 0.0000], [0.3343, 0.6657, 0.0000], [0.6657, 0.3343, 0.0000], [0.9333, 0.6462, 0.8003], [0.7828, 0.7828, 0.1999], [0.0667, 0.3538, 0.1997], [0.6462, 0.9333, 0.8003], [0.2172, 0.2172, 0.8001], [0.3538, 0.0667, 0.1997]],
  "energy_ev_per_fu": -59.08
}

=====

# 3
{
  "formula": "K2TaPbS4",
  "functional": "PBE",
  "state": "optimized geometry",
  "lattice": [[6.8972, 0.3689, 0.5651], [-2.6052, 6.3970, -0.5651], [-2.6052, -3.0916, 5.6287]],
  "species": ["K", "K", "Ta", "Pb", "S", "S", "S", "S"],
  "fractional_positions": [[0.5000, 0.7500, 0.2500], [0.0000, 0.0000, 0.0000], [0.0000, 0.5000, 0.5000], [0.5000, 0.2500, 0.7500], [0.6666, 0.4858, 0.5062], [0.0204, 0.1809, 0.5142], [0.9796, 0.4938, 0.1605], [0.3334, 0.8395, 0.8191]],
  "n_ef_per_ev_atom": 0.074,
  "energy_ev_per_fu": -41.75
}

=====

# 4
{
  "formula": "KTb2Pb3S6",
  "functional": "PBE",
  "state": "optimized geometry",
  "lattice": [[-1.4726, 1.1931, -3.5185], [4.1631, -6.9320, -4.0930], [-7.3045, -4.1340, 3.9249]],
  "species": ["K", "Tb", "Tb", "Pb", "Pb", "Pb", "S", "S", "S", "S", "S", "S"],
  "fractional_positions": [[0.5000, 0.0000, 0.0000], [0.8324, 0.6636, 0.6647], [0.1676, 0.3364, 0.3353], [0.5000, 0.5000, 0.0000], [0.8395, 0.1674, 0.6790], [0.1605, 0.8326, 0.3210], [0.3192, 0.8684, 0.6384], [0.6715, 0.5532, 0.3431], [0.6808, 0.1316, 0.3616], [0.0157, 0.2713, 0.0313], [0.9843, 0.7287, 0.9687], [0.3285, 0.4468, 0.6569]],
  "n_ef_per_ev_atom": 0.266,
  "energy_ev_per_fu": -60.35
}

=====

# 5
{
  "formula": "K3Tb2PbS6",
  "functional": "PBE",
  "state": "optimized geometry",
  "lattice": [[7.1164, -0.0003, 0.0007], [-3.5567, 6.1638, 0.0007], [-1.1866, -2.0545, 7.3887]],
  "species": ["K", "K", "K", "Tb", "Tb", "Pb", "S", "S", "S", "S", "S", "S"],
  "fractional_positions": [[0.1635, 0.8365, 0.5000], [0.8365, 0.1635, 0.5000], [0.5000, 0.5000, 0.5000], [0.3330, 0.6670, 0.0000], [0.6670, 0.3330, 0.0000], [0.0000, 0.0000, 0.0000], [0.9313, 0.5874, 0.7943], [0.7243, 0.7243, 0.2051], [0.0687, 0.4126, 0.2057], [0.5874, 0.9313, 0.7943], [0.2757, 0.2757, 0.7949], [0.4126, 0.0687, 0.2057]],
  "n_ef_per_ev_atom": 0.388,
  "energy_ev_per_fu": -58.60
}

=====

# 6
{
  "formula": "K2TePbS4",
  "functional": "PBE",
  "state": "optimized geometry",
  "lattice": [[-8.4529, 1.3014, 0.2079], [-0.8900, -4.8141, -7.0157], [4.2274, -3.0633, 7.0193]],
  "species": ["K", "K", "K", "K", "Te", "Te", "Pb", "Pb", "S", "S", "S", "S", "S", "S", "S", "S"],
  "fractional_positions": [[0.5000, 0.0000, 0.0000], [0.5000, 0.0000, 0.5000], [0.0000, 0.0000, 0.5000], [0.5000, 0.5000, 0.0000], [0.5000, 0.5000, 0.5000], [0.0000, 0.0000, 0.0000], [0.0000, 0.5000, 0.0000], [0.0000, 0.5000, 0.5000], [0.2115, 0.7678, 0.9896], [0.7322, 0.2885, 0.5104], [0.2678, 0.7115, 0.4896], [0.7885, 0.2322, 0.0104], [0.7519, 0.7480, 0.9592], [0.7520, 0.7481, 0.5408], [0.2480, 0.2519, 0.4592], [0.2481, 0.2520, 0.0408]],
  "n_ef_per_ev_atom": 0.004,
  "energy_ev_per_fu": -30.31
}

=====

# 7
{
  "formula": "KTePb2S4",
  "functional": "PBE",
  "state": "optimized geometry",
  "lattice": [[-2.2009, -5.1013, 6.1572], [1.9474, -6.5750, -4.6642], [6.0383, 5.5794, 1.5549]],
  "species": ["K", "K", "Te", "Te", "Pb", "Pb", "Pb", "Pb", "S", "S", "S", "S", "S", "S", "S", "S"],
  "fractional_positions": [[0.0000, 0.5000, 0.0000], [0.0000, 0.5000, 0.5000], [0.5000, 0.5000, 0.5000], [0.0000, 0.0000, 0.0000], [0.5000, 0.0000, 0.0000], [0.5000, 0.0000, 0.5000], [0.0000, 0.0000, 0.5000], [0.5000, 0.5000, 0.0000], [0.2495, 0.7829, 0.0273], [0.7171, 0.2505, 0.4727], [0.2829, 0.7495, 0.5273], [0.7505, 0.2171, 0.9727], [0.7875, 0.7935, 0.0410], [0.7065, 0.7125, 0.4590], [0.2935, 0.2875, 0.5410], [0.2125, 0.2065, 0.9590]],
  "n_ef_per_ev_atom": 0.282,
  "energy_ev_per_fu": -31.50
}

=====

# 8
{
  "formula": "K3ThPb2S6",
  "functional": "PBE",
  "state": "optimized geometry",
  "lattice": [[7.3246, 0.0005, 0.0015], [-3.6601, 6.3446, 0.0015], [-1.2208, -2.1138, 7.4044]],
  "species": ["K", "K", "K", "Th", "Pb", "Pb", "S", "S", "S", "S", "S", "S"],
  "fractional_positions": [[0.1724, 0.8276, 0.5000], [0.8276, 0.1724, 0.5000], [0.5000, 0.5000, 0.5000], [0.0000, 0.0000, 0.0000], [0.3341, 0.6659, 0.0000], [0.6659, 0.3341, 0.0000], [0.9297, 0.6114, 0.7888], [0.7528, 0.7528, 0.2121], [0.0703, 0.3886, 0.2112], [0.6114, 0.9297, 0.7888], [0.2472, 0.2472, 0.7879], [0.3886, 0.0703, 0.2112]],
  "n_ef_per_ev_atom": 0.516,
  "energy_ev_per_fu": -56.95
}

=====

# 9
{
  "formula": "KTiPb2S",
  "functional": "PBE",
  "state": "optimized geometry",
  "lattice": [[5.3643, 0.0000, 0.0000], [0.0000, 6.1780, 0.0000], [0.0000, 0.0000, 5.3643]],
  "species": ["Pb", "Pb", "K", "S", "Ti"],
  "fractional_positions": [[0.0000, 0.0000, 0.5000], [0.5000, 0.0000, 0.0000], [0.0000, 0.5000, 0.0000], [0.5000, 0.5000, 0.5000], [0.0000, 0.0000, 0.0000]],
  "n_ef_per_ev_atom": 1.285,
  "energy_ev_per_fu": -17.69
}

=====

# 10
{
  "formula": "KTlPbS2",
  "functional": "PBE",
  "state": "optimized geometry",
  "lattice": [[6.2168, 0.0000, 0.0000], [-3.1084, 7.1371, 0.5482], [0.0000, -0.9415, 8.6720]],
  "species": ["K", "K", "Tl", "Tl", "Pb", "Pb", "S", "S", "S", "S"],
  "fractional_positions": [[0.6477, 0.2954, 0.0041], [0.3523, 0.7046, 0.9959], [0.3602, 0.7204, 0.4896], [0.6398, 0.2796, 0.5104], [0.0035, 0.0070, 0.2185], [0.9965, 0.9930, 0.7815], [0.4976, 0.9952, 0.7277], [0.5024, 0.0048, 0.2723], [0.1315, 0.2630, 0.0009], [0.8685, 0.7370, 0.9991]],
  "energy_ev_per_fu": -18.54
}

=====

# 11
{
  "formula": "KTl2PbS",
  "functional": "PBE",
  "state": "optimized geometry",
  "lattice": [[-3.1015, 1.1409, -5.0005], [-4.5729, -2.2400, 2.3252], [-1.5270, 5.3732, 2.1731]],
  "species": ["Pb", "Tl", "Tl", "S", "K"],
  "fractional_positions": [[0.0000, 0.5000, 0.0000], [0.0000, 0.0000, 0.5000], [0.5000, 0.0000, 0.0000], [0.0000, 0.0000, 0.0000], [0.5000, 0.5000, 0.5000]],
  "n_ef_per_ev_atom": 0.552,
  "energy_ev_per_fu": -13.86
}

=====

# 12
{
  "formula": "KTlPb2S4",
  "functional": "PBE",
  "state": "optimized geometry",
  "lattice": [[-4.8288, -5.5113, -4.1820], [-3.8164, -2.2403, 7.1831], [0.0846, 8.0391, -2.3213]],
  "species": ["K", "K", "Tl", "Tl", "Pb", "Pb", "Pb", "Pb", "S", "S", "S", "S", "S", "S", "S", "S"],
  "fractional_positions": [[0.0000, 0.5000, 0.0000], [0.0000, 0.5000, 0.5000], [0.5000, 0.5000, 0.5000], [0.0000, 0.0000, 0.0000], [0.5000, 0.0000, 0.0000], [0.5000, 0.0000, 0.5000], [0.0000, 0.0000, 0.5000], [0.5000, 0.5000, 0.0000], [0.2665, 0.7670, 0.0167], [0.7330, 0.2335, 0.4833], [0.2670, 0.7665, 0.5167], [0.7335, 0.2330, 0.9833], [0.7432, 0.7568, 0.0029], [0.7432, 0.7568, 0.4971], [0.2568, 0.2432, 0.5029], [0.2568, 0.2432, 0.9971]],
  "n_ef_per_ev_atom": 0.908,
  "energy_ev_per_fu": -31.20
}